Compound: Fe2SbPb
Source: the Alexandria database
Functional: PBE
Structure: optimized geometry Values from VASP.

Structure (Quantum ESPRESSO input):
```
&SYSTEM
  ibrav = 0, nat = 4, ntyp = 3
/
ATOMIC_SPECIES
Fe 55.84 Fe.upf
Sb 121.76 Sb.upf
Pb 207.20 Pb.upf
CELL_PARAMETERS angstrom
0.0000 3.2138 3.2138
3.2138 0.0000 3.2138
3.2138 3.2138 0.0000
ATOMIC_POSITIONS angstrom
Fe 1.6069 1.6069 1.6069
Fe 4.8207 4.8207 4.8207
Sb 0.0000 0.0000 0.0000
Pb 3.2138 3.2138 3.2138
```

Output
* SG: Fm-3m, No. 225
* magnetization: 0.00 μB/atom
* E: -5.524 eV/atom
* uncorrected formation energy: 64.2 kJ/mol of atoms